Entry 1:
First-principles (GGA-PBEsol) data for a relaxed K3AlP2 crystal, as listed in Alexandria via LeMat-Bulk.

Cell: 8.7968 11.7697 15.0195 Å, 72.73 73.20 72.08°
Closest atoms and distances in Å follow each position.
Sites, in units of the cell vectors:
1 P 0.9954 0.8296 0.8176  1 Al 2.26
2 P 0.4066 0.3371 0.3938  2 Al 2.43
3 P 0.7830 0.7810 0.3569  2 Al 2.42-2.43
4 P 0.6710 0.0151 0.5379  2 Al 2.43-2.48
5 P 0.0962 0.5896 0.5401  2 Al 2.42-2.44
6 P 0.4775 0.2992 0.8432  1 Al 2.24
7 P 0.3614 0.8755 0.9099  2 Al 2.32-2.37
8 P 0.1606 0.6312 0.0697  2 Al 2.35-2.36
9 P 0.2170 0.2190 0.6431  2 Al 2.42-2.43
10 P 0.0046 0.1704 0.1824  1 Al 2.26
11 P 0.5225 0.7008 0.1568  1 Al 2.24
12 P 0.3290 0.9849 0.4621  2 Al 2.43-2.48
13 P 0.9038 0.4104 0.4599  2 Al 2.42-2.44
14 P 0.8394 0.3688 0.9303  2 Al 2.35-2.36
15 P 0.5934 0.6629 0.6062  2 Al 2.43
16 P 0.6386 0.1245 0.0901  2 Al 2.32-2.37
17 K 0.5085 0.3772 0.5843  3 K 3.22-3.55, 3 P 3.39-3.52, 1 Al 3.56
18 K 0.0177 0.8931 0.4140  4 P 3.18-3.55
19 K 0.8102 0.7652 0.6809  4 P 3.13-3.38, 1 K 3.44
20 K 0.7759 0.2527 0.3805  4 P 3.06-3.30, 1 K 3.11
21 K 0.1898 0.2348 0.3191  4 P 3.13-3.38, 1 K 3.44
22 K 0.5328 0.0851 0.7447  4 P 3.13-3.32, 1 K 3.30
23 K 0.4672 0.9149 0.2553  4 P 3.13-3.32, 1 K 3.30
24 K 0.9823 0.1069 0.5860  4 P 3.18-3.55
25 K 0.6552 0.0829 0.3063  2 K 3.11-3.30, 6 P 3.18-3.48, 2 Al 3.26-3.31
26 K 0.1837 0.6009 0.3068  5 P 3.24-3.53, 2 Al 3.32-3.42, 2 K 3.51-3.61
27 K 0.9683 0.9016 0.1494  4 P 3.20-3.49, 2 Al 3.48-3.56
28 K 0.0317 0.0984 0.8506  4 P 3.20-3.49, 2 Al 3.48-3.56
29 K 0.5139 0.4248 0.1583  3 P 3.27-3.63, 2 Al 3.38-3.49, 1 K 3.61
30 K 0.2241 0.7473 0.6195  4 P 3.06-3.30, 1 K 3.11
31 K 0.4861 0.5752 0.8417  3 P 3.27-3.63, 2 Al 3.38-3.49, 1 K 3.61
32 K 0.1565 0.4239 0.7565  4 P 3.18-3.35, 2 K 3.43-3.51
33 K 0.8163 0.3991 0.6932  5 P 3.24-3.53, 2 Al 3.32-3.42, 2 K 3.51-3.61
34 K 0.6807 0.9140 0.9757  4 P 3.19-3.42, 2 K 3.21-3.29
35 K 0.3193 0.0860 0.0243  4 P 3.19-3.42, 2 K 3.21-3.29
36 K 0.8435 0.5761 0.2435  4 P 3.18-3.35, 2 K 3.43-3.51
37 K 0.8286 0.6206 0.9778  3 P 3.22-3.34, 2 K 3.29-3.52
38 K 0.3448 0.9171 0.6937  2 K 3.11-3.30, 6 P 3.18-3.48, 2 Al 3.26-3.31
39 K 0.4915 0.6228 0.4157  3 K 3.22-3.55, 3 P 3.39-3.52, 1 Al 3.56
40 K 0.1714 0.3794 0.0222  3 P 3.22-3.34, 2 K 3.29-3.52
41 Al 0.4058 0.1415 0.5085  4 P 2.43-2.48
42 Al 0.5942 0.8585 0.4915  4 P 2.43-2.48
43 Al 0.1542 0.3878 0.5097  4 P 2.42-2.44
44 Al 0.8492 0.2195 0.0741  3 P 2.26-2.37
45 Al 0.3637 0.7325 0.0545  3 P 2.24-2.36
46 Al 0.8458 0.6122 0.4903  4 P 2.42-2.44
47 Al 0.1508 0.7805 0.9259  3 P 2.26-2.37
48 Al 0.6363 0.2675 0.9455  3 P 2.24-2.36

Values from the calculation:
- DFT formation energy: -0.470 eV per atom
- Space group: P-1 (2)

Entry 2:
First-principles (GGA-PBEsol) data for a relaxed CaTeBr3 crystal, as listed in Alexandria via LeMat-Bulk.

Cell: 5.5667 5.5667 5.5667 Å, 90.00 90.00 90.00°
Closest atoms and distances in Å follow each position.
Sites, in units of the cell vectors:
1 Te 0.5000 0.5000 0.5000  12 Br 3.94
2 Br 0.0000 0.5000 0.0000  2 Ca 2.78
3 Br 0.5000 0.0000 0.0000  2 Ca 2.78
4 Br 0.0000 0.0000 0.5000  2 Ca 2.78
5 Ca 0.0000 0.0000 0.0000  6 Br 2.78

Values from the calculation:
- Raw formation energy: -18.0 kcal/mol of atoms
- Space group: Pm-3m (221)

Entry 3:
First-principles (GGA-PBEsol) data for a relaxed Mg2ZnNi crystal, as listed in Alexandria via LeMat-Bulk.

Cell: 3.8256 3.8256 4.9017 Å, 112.97 112.97 90.00°
Closest atoms and distances in Å follow each position.
Sites, in units of the cell vectors:
1 Mg 0.7500 0.2500 0.5000  4 Zn 2.71, 4 Mg 2.80, 4 Ni 2.80
2 Mg 0.0000 0.0000 0.0000  4 Ni 2.71, 4 Mg 2.80, 4 Zn 2.80
3 Ni 0.5000 0.5000 0.0000  8 Mg 2.71-2.80, 4 Zn 2.80
4 Zn 0.2500 0.7500 0.5000  8 Mg 2.71-2.80, 4 Ni 2.80

Values from the calculation:
- DFT formation energy: -0.090 eV per atom
- Space group: I-4m2 (119)

Entry 4:
First-principles (GGA-PBEsol) data for a relaxed CoNiTe4 crystal, as listed in Alexandria via LeMat-Bulk.

Cell: 3.7960 5.2121 6.5852 Å, 90.11 90.00 90.00°
Closest atoms and distances in Å follow each position.
Sites, in units of the cell vectors:
1 Te 0.5000 0.7519 0.1595  2 Co 2.53, 1 Ni 2.59
2 Te 0.5000 0.2481 0.8405  2 Co 2.53, 1 Ni 2.59
3 Te 0.0000 0.2427 0.3291  1 Co 2.51, 2 Ni 2.54
4 Te 0.0000 0.7573 0.6709  1 Co 2.51, 2 Ni 2.54
5 Ni 0.5000 0.0000 0.5000  6 Te 2.54-2.59
6 Co 0.0000 0.0000 0.0000  6 Te 2.51-2.53

Values from the calculation:
- E above lowest polymorph: 0.00 kcal/mol of atoms
- Raw formation energy: -6.0 kcal/mol of atoms
- Space group: P2/m (10)